Entry 1:
{
  "formula": "Ho7Tm12Mg",
  "functional": "PBE",
  "state": "relaxed",
  "lattice": [[9.6974, 0.0000, -3.4285], [-4.8487, 8.3982, -3.4285], [0.0000, 0.0000, 10.2856]],
  "species": ["Mg", "Ho", "Ho", "Ho", "Ho", "Ho", "Ho", "Ho", "Tm", "Tm", "Tm", "Tm", "Tm", "Tm", "Tm", "Tm", "Tm", "Tm", "Tm", "Tm"],
  "fractional_positions": [[0.0000, 0.0000, 0.0000], [0.0000, 0.5000, 0.5000], [0.5000, 0.0000, 0.0000], [0.0000, 0.5000, 0.0000], [0.5000, 0.0000, 0.5000], [0.5000, 0.5000, 0.0000], [0.0000, 0.0000, 0.5000], [0.5000, 0.5000, 0.5000], [0.7377, 0.3781, 0.6403], [0.0974, 0.3597, 0.7377], [0.2623, 0.6219, 0.3597], [0.3781, 0.6403, 0.7377], [0.6219, 0.3597, 0.2623], [0.7377, 0.0974, 0.3597], [0.3597, 0.2623, 0.6219], [0.6403, 0.7377, 0.3781], [0.9026, 0.6403, 0.2623], [0.3597, 0.7377, 0.0974], [0.6403, 0.2623, 0.9026], [0.2623, 0.9026, 0.6403]],
  "de_polymorph_ev_per_fu": 12.31,
  "sg": "No. 204",
  "delta_e_f_ev_per_atom": 0.836,
  "dos_ef_per_ev_cell": 28.85
}


Entry 2:
{
  "formula": "Ho5TmMg3",
  "functional": "PBE",
  "state": "relaxed",
  "lattice": [[-0.5400, 5.0280, -5.2280], [-4.7748, -3.0154, -4.5839], [-10.0262, 5.5306, 3.1447]],
  "species": ["Mg", "Mg", "Mg", "Mg", "Mg", "Mg", "Ho", "Ho", "Ho", "Ho", "Ho", "Ho", "Ho", "Ho", "Ho", "Ho", "Tm", "Tm"],
  "fractional_positions": [[0.0000, 0.0000, 0.5000], [0.4183, 0.4183, 0.2123], [0.0000, 0.0000, 0.0000], [0.7383, 0.7383, 0.5593], [0.5817, 0.5817, 0.7877], [0.2617, 0.2617, 0.4407], [0.4140, 0.4140, 0.6316], [0.3072, 0.6928, 0.0000], [0.9918, 0.3567, 0.2057], [0.6433, 0.0082, 0.7943], [0.0082, 0.6433, 0.7943], [0.6928, 0.3072, 0.0000], [0.5860, 0.5860, 0.3684], [0.2766, 0.2766, 0.9322], [0.3567, 0.9918, 0.2057], [0.7234, 0.7234, 0.0678], [0.1191, 0.1191, 0.7346], [0.8809, 0.8809, 0.2654]],
  "sg": "No. 12",
  "delta_e_f_ev_per_atom": 0.382,
  "dos_ef_per_ev_cell": 21.95
}


Entry 3:
{
  "formula": "Ho3Tm5Mg12",
  "functional": "PBE",
  "state": "relaxed",
  "lattice": [[-14.1333, -5.8808, 2.8529], [10.0119, -11.6202, -2.6844], [4.7824, 8.2290, 12.3242]],
  "species": ["Mg", "Mg", "Mg", "Mg", "Mg", "Mg", "Mg", "Mg", "Mg", "Mg", "Mg", "Mg", "Mg", "Mg", "Mg", "Mg", "Mg", "Mg", "Mg", "Mg", "Mg", "Mg", "Mg", "Mg", "Mg", "Mg", "Mg", "Mg", "Mg", "Mg", "Mg", "Mg", "Mg", "Mg", "Mg", "Mg", "Mg", "Mg", "Mg", "Mg", "Mg", "Mg", "Mg", "Mg", "Mg", "Mg", "Mg", "Mg", "Ho", "Ho", "Ho", "Ho", "Ho", "Ho", "Ho", "Ho", "Ho", "Ho", "Ho", "Ho", "Tm", "Tm", "Tm", "Tm", "Tm", "Tm", "Tm", "Tm", "Tm", "Tm", "Tm", "Tm", "Tm", "Tm", "Tm", "Tm", "Tm", "Tm", "Tm", "Tm"],
  "fractional_positions": [[0.7711, 0.4216, 0.3489], [0.6511, 0.5727, 0.9222], [0.7289, 0.1511, 0.0784], [0.0778, 0.1505, 0.2289], [0.9273, 0.0778, 0.8489], [0.2711, 0.8489, 0.9216], [0.1511, 0.7289, 0.5784], [0.5778, 0.7289, 0.6505], [0.5727, 0.9216, 0.6505], [0.8495, 0.9273, 0.0784], [0.3489, 0.4273, 0.0778], [0.9216, 0.5727, 0.1505], [0.3495, 0.7711, 0.4222], [0.2289, 0.6505, 0.0778], [0.4216, 0.7711, 0.8489], [0.6505, 0.4216, 0.5727], [0.6511, 0.0784, 0.2289], [0.0727, 0.1505, 0.4216], [0.9273, 0.8495, 0.5784], [0.2289, 0.5784, 0.6511], [0.9216, 0.3489, 0.2711], [0.4216, 0.6505, 0.0727], [0.8489, 0.5778, 0.9273], [0.5784, 0.3495, 0.9273], [0.5727, 0.6511, 0.4222], [0.1511, 0.4222, 0.0727], [0.4273, 0.3489, 0.5778], [0.8495, 0.9222, 0.2711], [0.3489, 0.9216, 0.7711], [0.4273, 0.0784, 0.3495], [0.2711, 0.4222, 0.8495], [0.6505, 0.2289, 0.5778], [0.0778, 0.9273, 0.3489], [0.1505, 0.0778, 0.7289], [0.7711, 0.3495, 0.9222], [0.5778, 0.8489, 0.4273], [0.3495, 0.5784, 0.4273], [0.1505, 0.0727, 0.9216], [0.9222, 0.0727, 0.6511], [0.0784, 0.6511, 0.7289], [0.8489, 0.2711, 0.4216], [0.9222, 0.8495, 0.7711], [0.4222, 0.2711, 0.3495], [0.4222, 0.1511, 0.5727], [0.7289, 0.5778, 0.1505], [0.0727, 0.9222, 0.1511], [0.5784, 0.2289, 0.1511], [0.0784, 0.4273, 0.8495], [0.2500, 0.6250, 0.8750], [0.7500, 0.3750, 0.1250], [0.3750, 0.7500, 0.6250], [0.2500, 0.1250, 0.3750], [0.7500, 0.8750, 0.6250], [0.6250, 0.3750, 0.7500], [0.1250, 0.8750, 0.7500], [0.8750, 0.7500, 0.1250], [0.8750, 0.1250, 0.2500], [0.1250, 0.2500, 0.8750], [0.3750, 0.6250, 0.2500], [0.6250, 0.2500, 0.3750], [0.3750, 0.2500, 0.1250], [0.6250, 0.7500, 0.8750], [0.1250, 0.7500, 0.3750], [0.5000, 0.0000, 0.0000], [0.2500, 0.3750, 0.6250], [0.5000, 0.0000, 0.5000], [0.5000, 0.5000, 0.0000], [0.8750, 0.6250, 0.7500], [0.0000, 0.0000, 0.5000], [0.0000, 0.0000, 0.0000], [0.3750, 0.1250, 0.7500], [0.7500, 0.6250, 0.3750], [0.8750, 0.2500, 0.6250], [0.6250, 0.8750, 0.2500], [0.1250, 0.3750, 0.2500], [0.7500, 0.1250, 0.8750], [0.0000, 0.5000, 0.0000], [0.5000, 0.5000, 0.5000], [0.0000, 0.5000, 0.5000], [0.2500, 0.8750, 0.1250]],
  "sg": "No. 230",
  "delta_e_f_ev_per_atom": 0.768,
  "dos_ef_per_ev_cell": 102.96
}


Entry 4:
{
  "formula": "Ho2TmMg8",
  "functional": "PBE",
  "state": "relaxed",
  "lattice": [[-3.6323, -1.3326, 2.4970], [2.4767, -3.4629, 1.7546], [4.1722, 8.3049, 10.5012]],
  "species": ["Mg", "Mg", "Mg", "Mg", "Mg", "Mg", "Mg", "Mg", "Tm", "Ho", "Ho"],
  "fractional_positions": [[0.5000, 0.0000, 0.1648], [0.0000, 0.5000, 0.1648], [0.5000, 0.5000, 0.6643], [0.0000, 0.5000, 0.5000], [0.5000, 0.0000, 0.5000], [0.0000, 0.5000, 0.8352], [0.5000, 0.0000, 0.8352], [0.5000, 0.5000, 0.3357], [0.0000, 0.0000, 0.0000], [0.0000, 0.0000, 0.6714], [0.0000, 0.0000, 0.3286]],
  "de_polymorph_ev_per_fu": 0.25,
  "sg": "No. 123",
  "delta_e_f_ev_per_atom": 0.088,
  "dos_ef_per_ev_cell": 10.46
}


Entry 5:
{
  "formula": "Ho3TmMg7",
  "functional": "PBE",
  "state": "relaxed",
  "lattice": [[3.2886, 0.0000, 0.0000], [-1.6443, 11.2008, 0.0000], [0.0000, 0.0000, 16.2829]],
  "species": ["Mg", "Mg", "Mg", "Mg", "Mg", "Mg", "Mg", "Mg", "Mg", "Mg", "Mg", "Mg", "Mg", "Mg", "Ho", "Ho", "Ho", "Ho", "Ho", "Ho", "Tm", "Tm"],
  "fractional_positions": [[0.6247, 0.2494, 0.6578], [0.4937, 0.9873, 0.0846], [0.3855, 0.7711, 0.7500], [0.3753, 0.7506, 0.3422], [0.2622, 0.5244, 0.0750], [0.5063, 0.0127, 0.9154], [0.3753, 0.7506, 0.1578], [0.4937, 0.9873, 0.4154], [0.6145, 0.2289, 0.2500], [0.6247, 0.2494, 0.8422], [0.5063, 0.0127, 0.5846], [0.7378, 0.4756, 0.9250], [0.2622, 0.5244, 0.4250], [0.7378, 0.4756, 0.5750], [0.8821, 0.7642, 0.9664], [0.8821, 0.7642, 0.5336], [0.1179, 0.2358, 0.4664], [0.7615, 0.5231, 0.2500], [0.2385, 0.4769, 0.7500], [0.1179, 0.2358, 0.0336], [0.9856, 0.9711, 0.2500], [0.0144, 0.0289, 0.7500]],
  "de_polymorph_ev_per_fu": 0.00,
  "sg": "No. 63",
  "delta_e_f_ev_per_atom": 0.098,
  "dos_ef_per_ev_cell": 20.10
}


Entry 6:
{
  "formula": "HoTm2Mg9",
  "functional": "PBE",
  "state": "relaxed",
  "lattice": [[4.6399, 0.0000, 0.0000], [0.0000, 4.6399, 0.0000], [0.0000, 0.0000, 13.8966]],
  "species": ["Mg", "Mg", "Mg", "Mg", "Mg", "Mg", "Mg", "Mg", "Mg", "Ho", "Tm", "Tm"],
  "fractional_positions": [[0.0000, 0.5000, 0.5000], [0.5000, 0.5000, 0.3340], [0.5000, 0.0000, 0.1674], [0.0000, 0.5000, 0.8326], [0.0000, 0.5000, 0.1674], [0.5000, 0.0000, 0.5000], [0.5000, 0.5000, 0.0000], [0.5000, 0.5000, 0.6660], [0.5000, 0.0000, 0.8326], [0.0000, 0.0000, 0.0000], [0.0000, 0.0000, 0.3338], [0.0000, 0.0000, 0.6662]],
  "sg": "No. 123",
  "delta_e_f_ev_per_atom": -0.046,
  "dos_ef_per_ev_cell": 9.31
}


Entry 7:
{
  "formula": "HoTm6Mg2",
  "functional": "PBE",
  "state": "relaxed",
  "lattice": [[8.7325, 0.3362, 0.3255], [3.1983, 7.9285, 1.1339], [3.1983, 1.3902, 7.8876]],
  "species": ["Mg", "Mg", "Mg", "Mg", "Tm", "Tm", "Tm", "Tm", "Tm", "Tm", "Tm", "Tm", "Tm", "Tm", "Tm", "Tm", "Ho", "Ho"],
  "fractional_positions": [[0.0000, 0.3451, 0.1547], [0.0000, 0.6549, 0.8453], [0.5000, 0.1547, 0.3451], [0.5000, 0.8453, 0.6549], [0.3250, 0.0101, 0.1688], [0.4255, 0.4122, 0.9121], [0.0745, 0.0879, 0.5878], [0.9255, 0.9121, 0.4122], [0.6750, 0.3313, 0.4897], [0.3250, 0.6687, 0.5103], [0.5745, 0.5878, 0.0879], [0.1750, 0.4897, 0.3312], [0.8250, 0.5103, 0.6688], [0.6750, 0.9899, 0.8312], [0.8250, 0.1688, 0.0101], [0.1750, 0.8312, 0.9899], [0.7500, 0.7500, 0.2500], [0.2500, 0.2500, 0.7500]],
  "sg": "No. 12",
  "delta_e_f_ev_per_atom": 0.041,
  "dos_ef_per_ev_cell": 23.15
}


Entry 8:
{
  "formula": "Ho12Tm3Mg",
  "functional": "PBE",
  "state": "relaxed",
  "lattice": [[-1.7799, -4.5961, 0.4157], [1.7237, -1.0754, -4.5096], [17.1857, -5.9332, 7.9839]],
  "species": ["Ho", "Ho", "Ho", "Ho", "Ho", "Ho", "Ho", "Ho", "Ho", "Ho", "Ho", "Ho", "Tm", "Tm", "Tm", "Mg"],
  "fractional_positions": [[0.0000, 0.5000, 0.1237], [0.0000, 0.5000, 0.3741], [0.5000, 0.5000, 0.5000], [0.5000, 0.5000, 0.7537], [0.5000, 0.0000, 0.6259], [0.5000, 0.5000, 0.2463], [0.5000, 0.0000, 0.3741], [0.5000, 0.0000, 0.8763], [0.5000, 0.0000, 0.1237], [0.0000, 0.5000, 0.8763], [0.0000, 0.5000, 0.6259], [0.5000, 0.5000, 0.0000], [0.0000, 0.0000, 0.2486], [0.0000, 0.0000, 0.5000], [0.0000, 0.0000, 0.7514], [0.0000, 0.0000, 0.0000]],
  "sg": "No. 123",
  "delta_e_f_ev_per_atom": 0.022,
  "dos_ef_per_ev_cell": 21.03
}


Entry 9:
{
  "formula": "HoTm7Mg4",
  "functional": "PBE",
  "state": "relaxed",
  "lattice": [[5.6796, 0.0000, 0.0000], [2.8398, 8.4318, 1.1341], [2.8398, 1.1554, 7.3458]],
  "species": ["Tm", "Tm", "Tm", "Tm", "Tm", "Tm", "Tm", "Mg", "Mg", "Mg", "Mg", "Ho"],
  "fractional_positions": [[0.0798, 0.5742, 0.2662], [0.2048, 0.1206, 0.4697], [0.2493, 0.7125, 0.7888], [0.7507, 0.2875, 0.2112], [0.9202, 0.4258, 0.7338], [0.5000, 0.0000, 0.0000], [0.7952, 0.8794, 0.5303], [0.3253, 0.3460, 0.0033], [0.6747, 0.6540, 0.9967], [0.5427, 0.3014, 0.6131], [0.4573, 0.6986, 0.3869], [0.0000, 0.0000, 0.0000]],
  "sg": "No. 12",
  "delta_e_f_ev_per_atom": 0.199,
  "dos_ef_per_ev_cell": 16.12
}


Entry 10:
{
  "formula": "Ho4Tm2Mg",
  "functional": "PBE",
  "state": "relaxed",
  "lattice": [[3.5741, 0.0000, 0.0000], [0.0001, 5.2826, -2.5040], [-0.0001, 0.7183, 11.2632]],
  "species": ["Tm", "Tm", "Ho", "Ho", "Ho", "Ho", "Mg"],
  "fractional_positions": [[0.5000, 0.0000, 0.5000], [0.0000, 0.5000, 0.5000], [0.5000, 0.1745, 0.2503], [0.0000, 0.3565, 0.7979], [0.0000, 0.6435, 0.2021], [0.5000, 0.8255, 0.7497], [0.0000, 0.0000, 0.0000]],
  "de_polymorph_ev_per_fu": 0.22,
  "sg": "No. 10",
  "delta_e_f_ev_per_atom": 0.141,
  "dos_ef_per_ev_cell": 8.09
}


Entry 11:
{
  "formula": "Ho3TmMg3",
  "functional": "PBE",
  "state": "relaxed",
  "lattice": [[-3.3807, -6.8228, 0.9552], [6.2508, -3.1587, -3.1371], [2.8644, -0.5469, 6.2520]],
  "species": ["Tm", "Tm", "Mg", "Mg", "Mg", "Mg", "Mg", "Mg", "Ho", "Ho", "Ho", "Ho", "Ho", "Ho"],
  "fractional_positions": [[0.3100, 0.3100, 0.9994], [0.6900, 0.6900, 0.0006], [0.2744, 0.2744, 0.4999], [0.6825, 0.3175, 0.5000], [0.3175, 0.6825, 0.5000], [0.2559, 0.7441, 0.0000], [0.7441, 0.2559, 0.0000], [0.7256, 0.7256, 0.5001], [0.0000, 0.0000, 0.7538], [0.0002, 0.4998, 0.2516], [0.9998, 0.5002, 0.7484], [0.0000, 0.0000, 0.2462], [0.5002, 0.9998, 0.7484], [0.4998, 0.0002, 0.2516]],
  "sg": "No. 12",
  "delta_e_f_ev_per_atom": 0.090,
  "dos_ef_per_ev_cell": 13.82
}


Entry 12:
{
  "formula": "HoTm3Mg6",
  "functional": "PBE",
  "state": "relaxed",
  "lattice": [[-0.1345, -0.8252, -5.1680], [-6.5837, -6.3007, 1.1774], [-5.3488, 9.6836, -1.4069]],
  "species": ["Ho", "Ho", "Mg", "Mg", "Mg", "Mg", "Mg", "Mg", "Mg", "Mg", "Mg", "Mg", "Mg", "Mg", "Tm", "Tm", "Tm", "Tm", "Tm", "Tm"],
  "fractional_positions": [[0.7500, 0.0504, 0.3997], [0.2500, 0.9496, 0.6003], [0.7500, 0.1451, 0.7003], [0.2500, 0.1460, 0.1950], [0.2500, 0.8549, 0.2997], [0.7500, 0.9528, 0.0994], [0.2500, 0.2454, 0.4919], [0.7500, 0.3418, 0.2945], [0.2500, 0.0472, 0.9006], [0.7500, 0.5568, 0.8988], [0.7500, 0.8540, 0.8050], [0.7500, 0.7546, 0.5081], [0.2500, 0.4432, 0.1012], [0.2500, 0.6582, 0.7055], [0.2500, 0.3516, 0.7973], [0.2500, 0.7474, 0.0040], [0.7500, 0.2526, 0.9960], [0.7500, 0.6484, 0.2027], [0.7500, 0.4537, 0.6019], [0.2500, 0.5463, 0.3981]],
  "sg": "No. 11",
  "delta_e_f_ev_per_atom": -0.050,
  "dos_ef_per_ev_cell": 18.59
}